Below is an optimized crystal structure of Na3LiV4O12, with properties calculated at the PBE+U level.

a = 7.1995 Å, b = 7.1995 Å, c = 5.9715 Å
α = 105.68°, β = 105.68°, γ = 83.15°
With the nearest neighbours (Å) after each atom.
Element x y z (fractional)
Na (0.0000, 0.0000, 0.0000)  6 O 2.35-2.43
Na (0.3624, 0.6376, 0.0000)  6 O 2.39-2.63
Na (0.8073, 0.1927, 0.5000)  4 O 2.34-2.55
Li (0.2026, 0.7974, 0.5000)  4 O 2.07-2.19
V (0.2896, 0.2989, 0.5141)  4 O 1.68-1.83
V (0.4630, 0.1126, 0.0042)  4 O 1.67-1.83
V (0.7011, 0.7104, 0.4859)  4 O 1.68-1.83
V (0.8874, 0.5370, 0.9958)  4 O 1.67-1.83
O (0.0640, 0.6962, 0.1166)  1 V 1.69
O (0.1117, 0.1440, 0.4171)  1 V 1.68
O (0.2012, 0.5290, 0.5650)  1 V 1.68
O (0.3038, 0.9360, 0.8834)  1 V 1.69
O (0.4383, 0.2552, 0.2991)  2 V 1.83
O (0.4379, 0.2728, 0.8051)  2 V 1.82-1.83
O (0.4710, 0.7988, 0.4350)  1 V 1.68
O (0.6876, 0.0162, 0.0590)  1 V 1.67
O (0.7272, 0.5621, 0.1949)  2 V 1.82-1.83
O (0.7448, 0.5617, 0.7009)  2 V 1.83
O (0.8560, 0.8883, 0.5829)  1 V 1.68
O (0.9838, 0.3124, 0.9410)  1 V 1.67

Output
uncorrected energy = -134.447 eV for the cell shown